# Ag2MoPd

A relaxed structure of Ag2MoPd (PBE, Alexandria via LeMat-Bulk).

Values from the calculation:
The space-group type is I-42d.

Cell and atoms, written as CIF:
```
data_Ag2MoPd
_chemical_formula_sum 'Ag4 Mo2 Pd2'
_symmetry_space_group_name_H-M 'P 1'
_symmetry_Int_Tables_number 1
_cell_length_a 7.392
_cell_length_b 7.392
_cell_length_c 5.870
_cell_angle_alpha 50.98
_cell_angle_beta 50.98
_cell_angle_gamma 90.00
loop_
_symmetry_equiv_pos_as_xyz
'x,y,z'
loop_
_atom_site_label
_atom_site_fract_x
_atom_site_fract_y
_atom_site_fract_z
_atom_site_occupancy
Mo1 0.250 0.750 0.500 1
Mo2 0.500 0.500 0.000 1
Ag1 0.875 0.877 0.750 1
Ag2 0.375 0.373 0.750 1
Ag3 0.627 0.125 0.250 1
Ag4 0.123 0.625 0.250 1
Pd1 0.750 0.250 0.500 1
Pd2 0.000 0.000 0.000 1
```


# AgMo2Pd

A relaxed structure of AgMo2Pd (PBE, Alexandria via LeMat-Bulk).

Values from the calculation:
The space-group type is Fm-3m.

Cell and atoms, written as CIF:
```
data_AgMo2Pd
_chemical_formula_sum 'Ag1 Mo2 Pd1'
_symmetry_space_group_name_H-M 'P 1'
_symmetry_Int_Tables_number 1
_cell_length_a 4.519
_cell_length_b 4.519
_cell_length_c 4.519
_cell_angle_alpha 60.00
_cell_angle_beta 60.00
_cell_angle_gamma 60.00
loop_
_symmetry_equiv_pos_as_xyz
'x,y,z'
loop_
_atom_site_label
_atom_site_fract_x
_atom_site_fract_y
_atom_site_fract_z
_atom_site_occupancy
Ag1 0.500 0.500 0.500 1
Pd1 0.000 0.000 0.000 1
Mo1 0.750 0.750 0.750 1
Mo2 0.250 0.250 0.250 1
```


# AgMoPd3

A relaxed structure of AgMoPd3 (PBE, Alexandria via LeMat-Bulk).

Values from the calculation:
The space-group type is Pm-3m.

Cell and atoms, written as CIF:
```
data_AgMoPd3
_chemical_formula_sum 'Ag1 Mo1 Pd3'
_symmetry_space_group_name_H-M 'P 1'
_symmetry_Int_Tables_number 1
_cell_length_a 4.792
_cell_length_b 4.792
_cell_length_c 4.792
_cell_angle_alpha 90.00
_cell_angle_beta 90.00
_cell_angle_gamma 90.00
loop_
_symmetry_equiv_pos_as_xyz
'x,y,z'
loop_
_atom_site_label
_atom_site_fract_x
_atom_site_fract_y
_atom_site_fract_z
_atom_site_occupancy
Mo1 0.000 0.000 0.000 1
Pd1 0.000 0.500 0.000 1
Pd2 0.500 0.000 0.000 1
Pd3 0.000 0.000 0.500 1
Ag1 0.500 0.500 0.500 1
```


# Ag2MoPd

A relaxed structure of Ag2MoPd (PBE, Alexandria via LeMat-Bulk).

Values from the calculation:
The space-group type is Fm-3m.

Cell and atoms, written as CIF:
```
data_Ag2MoPd
_chemical_formula_sum 'Ag2 Mo1 Pd1'
_symmetry_space_group_name_H-M 'P 1'
_symmetry_Int_Tables_number 1
_cell_length_a 4.539
_cell_length_b 4.539
_cell_length_c 4.539
_cell_angle_alpha 60.00
_cell_angle_beta 60.00
_cell_angle_gamma 60.00
loop_
_symmetry_equiv_pos_as_xyz
'x,y,z'
loop_
_atom_site_label
_atom_site_fract_x
_atom_site_fract_y
_atom_site_fract_z
_atom_site_occupancy
Pd1 0.500 0.500 0.500 1
Ag1 0.250 0.250 0.250 1
Ag2 0.750 0.750 0.750 1
Mo1 0.000 0.000 0.000 1
```


# Ag2MoPd9

A relaxed structure of Ag2MoPd9 (PBE, Alexandria via LeMat-Bulk).

Values from the calculation:
The space-group type is P4/mmm.

Cell and atoms, written as CIF:
```
data_Ag2MoPd9
_chemical_formula_sum 'Ag2 Mo1 Pd9'
_symmetry_space_group_name_H-M 'P 1'
_symmetry_Int_Tables_number 1
_cell_length_a 3.970
_cell_length_b 3.970
_cell_length_c 11.975
_cell_angle_alpha 90.00
_cell_angle_beta 90.00
_cell_angle_gamma 90.00
loop_
_symmetry_equiv_pos_as_xyz
'x,y,z'
loop_
_atom_site_label
_atom_site_fract_x
_atom_site_fract_y
_atom_site_fract_z
_atom_site_occupancy
Pd1 0.500 0.500 0.000 1
Pd2 0.500 0.000 0.843 1
Pd3 0.000 0.500 0.843 1
Pd4 0.500 0.500 0.672 1
Pd5 0.500 0.000 0.157 1
Pd6 0.000 0.500 0.500 1
Pd7 0.000 0.500 0.157 1
Pd8 0.500 0.000 0.500 1
Pd9 0.500 0.500 0.328 1
Ag1 0.000 0.000 0.668 1
Ag2 0.000 0.000 0.332 1
Mo1 0.000 0.000 0.000 1
```


# AgMoPd

A relaxed structure of AgMoPd (PBE, Alexandria via LeMat-Bulk).

Values from the calculation:
The space-group type is Fmmm.

Cell and atoms, written as CIF:
```
data_AgMoPd
_chemical_formula_sum 'Ag2 Mo2 Pd2'
_symmetry_space_group_name_H-M 'P 1'
_symmetry_Int_Tables_number 1
_cell_length_a 5.109
_cell_length_b 4.414
_cell_length_c 6.325
_cell_angle_alpha 76.48
_cell_angle_beta 66.18
_cell_angle_gamma 54.64
loop_
_symmetry_equiv_pos_as_xyz
'x,y,z'
loop_
_atom_site_label
_atom_site_fract_x
_atom_site_fract_y
_atom_site_fract_z
_atom_site_occupancy
Pd1 0.611 0.000 0.777 1
Pd2 0.389 0.000 0.223 1
Ag1 0.750 0.500 0.500 1
Ag2 0.250 0.500 0.500 1
Mo1 0.839 0.322 0.000 1
Mo2 0.161 0.678 0.000 1
```


# AgMo2Pd

A relaxed structure of AgMo2Pd (PBE, Alexandria via LeMat-Bulk).

Values from the calculation:
The space-group type is I-42d.

Cell and atoms, written as CIF:
```
data_AgMo2Pd
_chemical_formula_sum 'Ag2 Mo4 Pd2'
_symmetry_space_group_name_H-M 'P 1'
_symmetry_Int_Tables_number 1
_cell_length_a 7.329
_cell_length_b 7.329
_cell_length_c 5.797
_cell_angle_alpha 50.79
_cell_angle_beta 50.79
_cell_angle_gamma 90.00
loop_
_symmetry_equiv_pos_as_xyz
'x,y,z'
loop_
_atom_site_label
_atom_site_fract_x
_atom_site_fract_y
_atom_site_fract_z
_atom_site_occupancy
Mo1 0.375 0.393 0.750 1
Mo2 0.875 0.857 0.750 1
Mo3 0.143 0.625 0.250 1
Mo4 0.607 0.125 0.250 1
Ag1 0.000 0.000 0.000 1
Ag2 0.750 0.250 0.500 1
Pd1 0.250 0.750 0.500 1
Pd2 0.500 0.500 0.000 1
```


# Sr2AgMoPd

A relaxed structure of Sr2AgMoPd (PBE, Alexandria via LeMat-Bulk).

Values from the calculation:
The space-group type is P4/mmm.

Cell and atoms, written as CIF:
```
data_Sr2AgMoPd
_chemical_formula_sum 'Sr2 Ag1 Mo1 Pd1'
_symmetry_space_group_name_H-M 'P 1'
_symmetry_Int_Tables_number 1
_cell_length_a 5.854
_cell_length_b 5.036
_cell_length_c 5.854
_cell_angle_alpha 90.00
_cell_angle_beta 90.00
_cell_angle_gamma 90.00
loop_
_symmetry_equiv_pos_as_xyz
'x,y,z'
loop_
_atom_site_label
_atom_site_fract_x
_atom_site_fract_y
_atom_site_fract_z
_atom_site_occupancy
Sr1 0.500 0.000 0.000 1
Sr2 0.000 0.000 0.500 1
Pd1 0.000 0.500 0.000 1
Mo1 0.500 0.500 0.500 1
Ag1 0.000 0.000 0.000 1
```


# AgMo2PdW

A relaxed structure of AgMo2PdW (PBE, Alexandria via LeMat-Bulk).

Values from the calculation:
The space-group type is P4/mmm.

Cell and atoms, written as CIF:
```
data_AgMo2PdW
_chemical_formula_sum 'Ag1 Mo2 Pd1 W1'
_symmetry_space_group_name_H-M 'P 1'
_symmetry_Int_Tables_number 1
_cell_length_a 4.671
_cell_length_b 4.708
_cell_length_c 4.671
_cell_angle_alpha 90.00
_cell_angle_beta 90.00
_cell_angle_gamma 90.00
loop_
_symmetry_equiv_pos_as_xyz
'x,y,z'
loop_
_atom_site_label
_atom_site_fract_x
_atom_site_fract_y
_atom_site_fract_z
_atom_site_occupancy
Ag1 0.000 0.500 0.000 1
W1 0.500 0.500 0.500 1
Pd1 0.000 0.000 0.000 1
Mo1 0.000 0.000 0.500 1
Mo2 0.500 0.000 0.000 1
```


# AgMo2Pt2

A relaxed structure of AgMo2Pt2 (PBE, Alexandria via LeMat-Bulk).

Values from the calculation:
The space-group type is P4/mbm.

Cell and atoms, written as CIF:
```
data_AgMo2Pt2
_chemical_formula_sum 'Ag2 Mo4 Pt4'
_symmetry_space_group_name_H-M 'P 1'
_symmetry_Int_Tables_number 1
_cell_length_a 7.898
_cell_length_b 7.898
_cell_length_c 2.735
_cell_angle_alpha 90.00
_cell_angle_beta 90.00
_cell_angle_gamma 90.00
loop_
_symmetry_equiv_pos_as_xyz
'x,y,z'
loop_
_atom_site_label
_atom_site_fract_x
_atom_site_fract_y
_atom_site_fract_z
_atom_site_occupancy
Pt1 0.329 0.171 0.500 1
Pt2 0.671 0.829 0.500 1
Pt3 0.171 0.671 0.500 1
Pt4 0.829 0.329 0.500 1
Ag1 0.000 0.000 0.000 1
Ag2 0.500 0.500 0.000 1
Mo1 0.381 0.881 0.000 1
Mo2 0.881 0.619 0.000 1
Mo3 0.119 0.381 0.000 1
Mo4 0.619 0.119 0.000 1
```


# AgMoPt2

A relaxed structure of AgMoPt2 (PBE, Alexandria via LeMat-Bulk).

Values from the calculation:
The space-group type is Fm-3m.

Cell and atoms, written as CIF:
```
data_AgMoPt2
_chemical_formula_sum 'Ag1 Mo1 Pt2'
_symmetry_space_group_name_H-M 'P 1'
_symmetry_Int_Tables_number 1
_cell_length_a 4.516
_cell_length_b 4.516
_cell_length_c 4.516
_cell_angle_alpha 60.00
_cell_angle_beta 60.00
_cell_angle_gamma 60.00
loop_
_symmetry_equiv_pos_as_xyz
'x,y,z'
loop_
_atom_site_label
_atom_site_fract_x
_atom_site_fract_y
_atom_site_fract_z
_atom_site_occupancy
Ag1 0.500 0.500 0.500 1
Pt1 0.250 0.250 0.250 1
Pt2 0.750 0.750 0.750 1
Mo1 0.000 0.000 0.000 1
```


# Ag3MoPt

A relaxed structure of Ag3MoPt (PBE, Alexandria via LeMat-Bulk).

Values from the calculation:
The space-group type is Pm-3m.

Cell and atoms, written as CIF:
```
data_Ag3MoPt
_chemical_formula_sum 'Ag3 Mo1 Pt1'
_symmetry_space_group_name_H-M 'P 1'
_symmetry_Int_Tables_number 1
_cell_length_a 4.968
_cell_length_b 4.968
_cell_length_c 4.968
_cell_angle_alpha 90.00
_cell_angle_beta 90.00
_cell_angle_gamma 90.00
loop_
_symmetry_equiv_pos_as_xyz
'x,y,z'
loop_
_atom_site_label
_atom_site_fract_x
_atom_site_fract_y
_atom_site_fract_z
_atom_site_occupancy
Ag1 0.000 0.500 0.000 1
Ag2 0.500 0.000 0.000 1
Ag3 0.000 0.000 0.500 1
Mo1 0.000 0.000 0.000 1
Pt1 0.500 0.500 0.500 1
```


# AgMo2Pt

A relaxed structure of AgMo2Pt (PBE, Alexandria via LeMat-Bulk).

Values from the calculation:
The space-group type is Cm.

Cell and atoms, written as CIF:
```
data_AgMo2Pt
_chemical_formula_sum 'Ag1 Mo2 Pt1'
_symmetry_space_group_name_H-M 'P 1'
_symmetry_Int_Tables_number 1
_cell_length_a 4.880
_cell_length_b 4.880
_cell_length_c 5.072
_cell_angle_alpha 82.36
_cell_angle_beta 82.36
_cell_angle_gamma 32.41
loop_
_symmetry_equiv_pos_as_xyz
'x,y,z'
loop_
_atom_site_label
_atom_site_fract_x
_atom_site_fract_y
_atom_site_fract_z
_atom_site_occupancy
Mo1 0.002 0.002 0.996 1
Mo2 0.757 0.757 0.749 1
Pt1 0.493 0.493 0.503 1
Ag1 0.248 0.248 0.252 1
```


# Ag2MoPt

A relaxed structure of Ag2MoPt (PBE, Alexandria via LeMat-Bulk).

Values from the calculation:
The space-group type is Cm.

Cell and atoms, written as CIF:
```
data_Ag2MoPt
_chemical_formula_sum 'Ag2 Mo1 Pt1'
_symmetry_space_group_name_H-M 'P 1'
_symmetry_Int_Tables_number 1
_cell_length_a 4.850
_cell_length_b 4.850
_cell_length_c 5.221
_cell_angle_alpha 82.55
_cell_angle_beta 82.55
_cell_angle_gamma 33.18
loop_
_symmetry_equiv_pos_as_xyz
'x,y,z'
loop_
_atom_site_label
_atom_site_fract_x
_atom_site_fract_y
_atom_site_fract_z
_atom_site_occupancy
Ag1 0.750 0.750 0.766 1
Ag2 0.998 0.998 0.982 1
Mo1 0.504 0.504 0.466 1
Pt1 0.248 0.248 0.286 1
```


| no. | formation energy (eV per atom) | DOS at the Fermi energy (states/eV/f.u.) |
| --- | --- | --- |
| 1 | 0.93 | 5.14 |
| 2 | 0.73 | 6.13 |
| 3 | 1.06 | 3.74 |
| 4 | 0.56 | 2.51 |
| 5 | -0.04 | 12.85 |
| 6 | 0.53 | 3.31 |
| 7 | 0.87 | 3.26 |
| 8 | 0.87 | 3.23 |
| 9 | 2.17 | 5.88 |
| 10 | 0.04 | 3.21 |
| 11 | 0.14 | 4.15 |
| 12 | 1.96 | 6.86 |
| 13 | 0.16 | 3.01 |
| 14 | 0.21 | 3.06 |